Record 1
A plane-wave DFT calculation with PBEsol was carried out for a relaxed structure of CaMn4O8.

Results
* formation energy without anion corrections: -1.905 eV/atom

abc: 5.6810 5.6810 16.6201
angles: 90.00 90.00 120.00
Last column: nearest neighbours and their distance in Å.
Space group R-3m (No. 166, hexagonal axes)
Asymmetric unit:
Ca: 0.0000 0.0000 0.0000 (multiplicity 3)  6 O 2.37
Mn: 0.0000 0.0000 0.5000 (multiplicity 3)  6 O 1.97
Mn: 0.0000 0.5000 0.5000 (multiplicity 9)  6 O 1.91
O: 0.0000 0.0000 0.2251 (multiplicity 6)  3 Mn 1.91
O: 0.0091 0.5045 0.7718 (multiplicity 18)  3 Mn 1.91-1.97

Record 2
A plane-wave DFT calculation with PBEsol was carried out for a relaxed structure of Si4Pb2O11.

Results
* formation energy without anion corrections: -2.184 eV/atom

abc: 8.0819 9.7366 13.3190
angles: 90.00 90.00 90.00
Last column: nearest neighbours and their distance in Å.
Space group Pna2_1 (No. 33)
Asymmetric unit:
Si: 0.0942 0.1968 0.0000 (multiplicity 4)  4 O 1.63
Si: 0.0937 0.7024 0.9154 (multiplicity 4)  4 O 1.62-1.66
Si: 0.2137 0.4531 0.4344 (multiplicity 4)  4 O 1.63-1.65
Si: 0.2344 0.9546 0.4813 (multiplicity 4)  4 O 1.63-1.65
Pb: 0.0439 0.4275 0.1953 (multiplicity 4)  4 O 2.01-2.23
Pb: 0.0500 0.0427 0.2353 (multiplicity 4)  3 O 2.28-2.40
O: 0.0281 0.7390 0.8035 (multiplicity 4)  1 Si 1.62
O: 0.0426 0.3861 0.4785 (multiplicity 4)  2 Si 1.63-1.64
O: 0.0563 0.8885 0.4474 (multiplicity 4)  2 Si 1.63-1.64
O: 0.0592 0.2239 0.1187 (multiplicity 4)  1 Si 1.63
O: 0.1243 0.3441 0.9445 (multiplicity 4)  2 Si 1.63-1.64
O: 0.1397 0.8463 0.9708 (multiplicity 4)  2 Si 1.63-1.65
O: 0.1820 0.4875 0.6995 (multiplicity 4)  1 Pb 2.01
O: 0.2192 0.4737 0.3132 (multiplicity 4)  1 Si 1.63
O: 0.2416 0.6005 0.4894 (multiplicity 4)  2 Si 1.63
O: 0.2451 0.0967 0.4142 (multiplicity 4)  2 Si 1.65-1.66
O: 0.2451 0.9815 0.6020 (multiplicity 4)  1 Si 1.63

Record 3
A plane-wave DFT calculation with PBEsol was carried out for a relaxed structure of ZnI2F.

Results
* formation energy without anion corrections: -0.427 eV/atom

abc: 6.7912 6.7912 9.7271
angles: 90.00 90.00 90.00
Last column: nearest neighbours and their distance in Å.
Space group I-42d (No. 122)
Asymmetric unit:
Zn: 0.0000 0.0000 0.0000 (multiplicity 4)  4 I 2.61
I: 0.2311 0.2500 0.1250 (multiplicity 8)  2 Zn 2.61, 2 F 2.77
F: 0.0000 0.0000 0.5000 (multiplicity 4)  4 I 2.77

Record 4
A plane-wave DFT calculation with PBEsol was carried out for a relaxed structure of Na3ZrIn.

Results
* VASP energy: -2.26 eV/atom

abc: 5.5325 5.5325 5.5325
angles: 90.00 90.00 90.00
Last column: nearest neighbours and their distance in Å.
Space group Pm-3m (No. 221)
Asymmetric unit:
Na: 0.0000 0.0000 0.5000 (multiplicity 3)  2 In 2.77
Zr: 0.5000 0.5000 0.5000 (multiplicity 1)  12 Na 3.91
In: 0.0000 0.0000 0.0000 (multiplicity 1)  6 Na 2.77

Record 5
A plane-wave DFT calculation with PBEsol was carried out for a relaxed structure of Re2AgW.

Results
* VASP energy: -10.43 eV/atom

abc: 5.5579 8.0610 2.7043
angles: 90.00 90.00 90.00
Last column: nearest neighbours and their distance in Å.
Space group Cmmm (No. 65)
Asymmetric unit:
Re: 0.2500 0.2500 0.0000 (multiplicity 4)  4 Re 2.70-2.78, 4 W 2.80, 4 Ag 2.80
Ag: 0.0000 0.0000 0.5000 (multiplicity 2)  2 Ag 2.70, 2 W 2.78, 8 Re 2.80
W: 0.0000 0.5000 0.5000 (multiplicity 2)  2 W 2.70, 2 Ag 2.78, 8 Re 2.80

Record 6
A plane-wave DFT calculation with PBEsol was carried out for a relaxed structure of ZnCdCu2.

Results
* VASP energy: -2.84 eV/atom

abc: 4.0539 4.0539 6.7727
angles: 90.00 90.00 90.00
Last column: nearest neighbours and their distance in Å.
Space group I4/mmm (No. 139)
Asymmetric unit:
Zn: 0.0000 0.0000 0.0000 (multiplicity 2)  8 Cu 2.64, 4 Cd 2.87
Cd: 0.0000 0.0000 0.5000 (multiplicity 2)  8 Cu 2.64, 4 Zn 2.87
Cu: 0.0000 0.5000 0.2500 (multiplicity 4)  4 Zn 2.64, 4 Cd 2.64, 4 Cu 2.87

Record 7
A plane-wave DFT calculation with PBEsol was carried out for a relaxed structure of YMgCu.

Results
* VASP energy: -4.46 eV/atom

abc: 6.8316 4.4298 8.1149
angles: 90.00 90.00 90.00
Last column: nearest neighbours and their distance in Å.
Space group Pnma (No. 62)
Asymmetric unit:
Y: 0.0391 0.2500 0.1726 (multiplicity 4)  5 Cu 2.83-3.10
Mg: 0.1381 0.2500 0.5582 (multiplicity 4)  4 Cu 2.68-2.77
Cu: 0.2466 0.7500 0.3739 (multiplicity 4)  4 Mg 2.68-2.77, 1 Y 2.83

Record 8
A plane-wave DFT calculation with PBEsol was carried out for a relaxed structure of BiSeCl.

Results
* formation energy without anion corrections: -0.648 eV/atom

abc: 4.0724 4.0724 19.0225
angles: 90.00 90.00 120.00
Last column: nearest neighbours and their distance in Å.
Space group R3m (No. 160, hexagonal axes)
Asymmetric unit:
Bi: 0.0000 0.0000 0.0000 (multiplicity 3)  3 Se 2.83, 3 Cl 2.91
Se: 0.0000 0.0000 0.7495 (multiplicity 3)  3 Bi 2.83
Cl: 0.0000 0.0000 0.2431 (multiplicity 3)  3 Bi 2.91

Record 9
A plane-wave DFT calculation with PBEsol was carried out for a relaxed structure of Te2Se.

Results
* formation energy without anion corrections: 0.106 eV/atom

abc: 3.8625 22.7224 3.9833
angles: 90.00 90.00 90.00
Last column: nearest neighbours and their distance in Å.
Space group Cmcm (No. 63)
Asymmetric unit:
Te: 0.0000 0.0662 0.2500 (multiplicity 4)  4 Se 2.85
Te: 0.0000 0.2737 0.7500 (multiplicity 4)  4 Te 2.98
Se: 0.0000 0.4044 0.2500 (multiplicity 4)  4 Te 2.85

Record 10
A plane-wave DFT calculation with PBEsol was carried out for a relaxed structure of CrNiBr2.

Results
* formation energy without anion corrections: 0.358 eV/atom

abc: 3.5824 3.5824 12.0677
angles: 90.00 90.00 90.00
Last column: nearest neighbours and their distance in Å.
Space group I-4m2 (No. 119)
Asymmetric unit:
Cr: 0.0000 0.0000 0.0000 (multiplicity 2)  4 Br 2.53
Ni: 0.0000 0.5000 0.2500 (multiplicity 2)  4 Br 2.53
Br: 0.0000 0.0000 0.5000 (multiplicity 2)  4 Cr 2.53
Br: 0.0000 0.5000 0.7500 (multiplicity 2)  4 Ni 2.53

Record 11
A plane-wave DFT calculation with PBEsol was carried out for a relaxed structure of ZrTlPt2.

Results
* VASP energy: -6.92 eV/atom

abc: 4.1497 4.1497 8.2759
angles: 90.00 90.00 90.00
Last column: nearest neighbours and their distance in Å.
Space group I-4m2 (No. 119)
Asymmetric unit:
Zr: 0.0000 0.0000 0.0000 (multiplicity 2)  4 Tl 2.93, 8 Pt 2.93
Tl: 0.0000 0.5000 0.7500 (multiplicity 2)  4 Zr 2.93, 8 Pt 2.93
Pt: 0.0000 0.0000 0.5000 (multiplicity 2)  4 Tl 2.93, 4 Pt 2.93, 4 Zr 2.93
Pt: 0.0000 0.5000 0.2500 (multiplicity 2)  4 Pt 2.93, 4 Zr 2.93, 4 Tl 2.93

Record 12
A plane-wave DFT calculation with PBEsol was carried out for a relaxed structure of InAsIrBr2.

Results
* formation energy without anion corrections: 0.114 eV/atom

abc: 5.3184 5.3184 4.5798
angles: 90.00 90.00 90.00
Last column: nearest neighbours and their distance in Å.
Space group P4/mmm (No. 123)
Asymmetric unit:
In: 0.0000 0.0000 0.0000 (multiplicity 1)  8 Br 3.51, 4 As 3.76
As: 0.5000 0.5000 0.0000 (multiplicity 1)  2 Ir 2.29
Ir: 0.5000 0.5000 0.5000 (multiplicity 1)  2 As 2.29
Br: 0.0000 0.5000 0.5000 (multiplicity 2)  2 Ir 2.66

Record 13
A plane-wave DFT calculation with PBEsol was carried out for a relaxed structure of SrRe2Au.

Results
* VASP energy: -7.27 eV/atom

abc: 2.8432 4.8551 5.2554
angles: 90.00 90.00 90.00
Last column: nearest neighbours and their distance in Å.
Space group Pmmm (No. 47)
Asymmetric unit:
Sr: 0.0000 0.0000 0.0000 (multiplicity 1)  4 Au 2.81, 2 Sr 2.84, 4 Re 2.99
Re: 0.0000 0.5000 0.5000 (multiplicity 1)  6 Re 2.81-2.84, 4 Au 2.99
Re: 0.5000 0.0000 0.5000 (multiplicity 1)  6 Re 2.81-2.84, 4 Sr 2.99
Au: 0.5000 0.5000 0.0000 (multiplicity 1)  4 Sr 2.81, 2 Au 2.84, 4 Re 2.99

Record 14
A plane-wave DFT calculation with PBEsol was carried out for a relaxed structure of YCd2Ru.

Results
* VASP energy: -4.87 eV/atom

abc: 4.3124 4.3124 8.2958
angles: 90.00 90.00 90.00
Last column: nearest neighbours and their distance in Å.
Space group I-4m2 (No. 119)
Asymmetric unit:
Y: 0.0000 0.0000 0.0000 (multiplicity 2)  8 Cd 2.99-3.05, 4 Ru 2.99
Cd: 0.0000 0.0000 0.5000 (multiplicity 2)  4 Cd 2.99, 4 Ru 2.99, 4 Y 3.05
Cd: 0.0000 0.5000 0.2500 (multiplicity 2)  4 Cd 2.99, 4 Y 2.99, 4 Ru 3.05
Ru: 0.0000 0.5000 0.7500 (multiplicity 2)  8 Cd 2.99-3.05, 4 Y 2.99

Record 15
A plane-wave DFT calculation with PBEsol was carried out for a relaxed structure of NaCu2Pd2.

Results
* VASP energy: -4.41 eV/atom

abc: 7.4424 7.4424 2.7039
angles: 90.00 90.00 90.00
Last column: nearest neighbours and their distance in Å.
Space group P4/mbm (No. 127)
Asymmetric unit:
Na: 0.0000 0.0000 0.0000 (multiplicity 2)  2 Na 2.70, 4 Pd 2.91
Cu: 0.1627 0.3373 0.5000 (multiplicity 4)  6 Pd 2.55-2.59, 2 Cu 2.70
Pd: 0.1320 0.6320 0.0000 (multiplicity 4)  6 Cu 2.55-2.59, 3 Pd 2.70-2.78

Record 16
A plane-wave DFT calculation with PBEsol was carried out for a relaxed structure of TaReNi.

Results
* VASP energy: -10.19 eV/atom

abc: 5.7405 5.7405 5.7405
angles: 90.00 90.00 90.00
Last column: nearest neighbours and their distance in Å.
Space group F-43m (No. 216)
Asymmetric unit:
Ta: 0.0000 0.0000 0.0000 (multiplicity 4)  4 Ni 2.49
Re: 0.0000 0.0000 0.5000 (multiplicity 4)  4 Ni 2.49
Ni: 0.2500 0.2500 0.7500 (multiplicity 4)  4 Ta 2.49, 4 Re 2.49

Record 17
A plane-wave DFT calculation with PBEsol was carried out for a relaxed structure of SiRu2.

Results
* formation energy without anion corrections: -0.411 eV/atom

abc: 10.0741 2.8182 5.6186
angles: 90.00 105.63 90.00
Last column: nearest neighbours and their distance in Å.
Space group C2/m (No. 12)
Asymmetric unit:
Si: 0.1452 0.0000 0.0436 (multiplicity 4)  7 Ru 2.40-2.56
Ru: 0.0281 0.5000 0.2740 (multiplicity 4)  4 Si 2.42-2.56, 2 Ru 2.68
Ru: 0.1910 0.0000 0.6460 (multiplicity 4)  3 Si 2.40-2.49, 4 Ru 2.67-2.68

Record 18
A plane-wave DFT calculation with PBEsol was carried out for a relaxed structure of Be2Pb.

Results
* VASP energy: -3.33 eV/atom

abc: 7.2068 7.2068 7.2068
angles: 90.00 90.00 90.00
Last column: nearest neighbours and their distance in Å.
Space group Fd-3m (No. 227, origin choice 2)
Asymmetric unit:
Be: 0.0000 0.0000 0.0000 (multiplicity 16)  6 Be 2.55
Pb: 0.1250 0.1250 0.6250 (multiplicity 8)  12 Be 2.99, 4 Pb 3.12

Record 19
A plane-wave DFT calculation with PBEsol was carried out for a relaxed structure of ScHg.

Results
* VASP energy: -4.07 eV/atom

abc: 3.4579 10.8609 4.5605
angles: 90.00 90.00 90.00
Last column: nearest neighbours and their distance in Å.
Space group Cmcm (No. 63)
Asymmetric unit:
Sc: 0.0000 0.1502 0.2500 (multiplicity 4)  7 Hg 2.86-3.10
Hg: 0.0000 0.4131 0.2500 (multiplicity 4)  7 Sc 2.86-3.10, 2 Hg 2.96

Record 20
A plane-wave DFT calculation with PBEsol was carried out for a relaxed structure of Ca2MnCu.

Results
* VASP energy: -4.10 eV/atom

abc: 4.3154 4.3154 9.5458
angles: 90.00 90.00 90.00
Last column: nearest neighbours and their distance in Å.
Space group I-4m2 (No. 119)
Asymmetric unit:
Ca: 0.0000 0.0000 0.0000 (multiplicity 2)  4 Cu 3.05, 4 Mn 3.22, 4 Ca 3.22
Ca: 0.0000 0.5000 0.2500 (multiplicity 2)  4 Mn 3.05, 4 Ca 3.22, 4 Cu 3.22
Mn: 0.0000 0.5000 0.7500 (multiplicity 2)  8 Ca 3.05-3.22, 4 Cu 3.22
Cu: 0.0000 0.0000 0.5000 (multiplicity 2)  8 Ca 3.05-3.22, 4 Mn 3.22

Record 21
A plane-wave DFT calculation with PBEsol was carried out for a relaxed structure of SiOs2Br.

Results
* formation energy without anion corrections: 0.453 eV/atom

abc: 2.8905 2.8905 24.2514
angles: 90.00 90.00 120.00
Last column: nearest neighbours and their distance in Å.
Space group R-3m (No. 166, hexagonal axes)
Asymmetric unit:
Si: 0.0000 0.0000 0.0000 (multiplicity 3)  6 Os 2.48
Os: 0.0000 0.0000 0.2578 (multiplicity 6)  3 Si 2.48, 3 Br 2.77
Br: 0.0000 0.0000 0.5000 (multiplicity 3)  6 Os 2.77, 6 Br 2.89

Record 22
A plane-wave DFT calculation with PBEsol was carried out for a relaxed structure of SiAgPd2Ru.

Results
* formation energy without anion corrections: 1.599 eV/atom

abc: 4.7705 4.7705 4.3637
angles: 90.00 90.00 90.00
Last column: nearest neighbours and their distance in Å.
Space group P4/mmm (No. 123)
Asymmetric unit:
Si: 0.0000 0.0000 0.0000 (multiplicity 1)  2 Ag 2.18
Ag: 0.0000 0.0000 0.5000 (multiplicity 1)  2 Si 2.18, 4 Pd 2.39
Pd: 0.0000 0.5000 0.5000 (multiplicity 2)  2 Ag 2.39
Ru: 0.5000 0.5000 0.0000 (multiplicity 1)  8 Pd 3.23, 4 Si 3.37